TbPm3Tm6 | PBE | optimized geometry

abc: 6.1943 10.9155 10.9155
angles: 119.54 90.00 90.00
Last column: nearest neighbours and their distance in Å.
Atoms (fractional coordinates):
Tm  0.9092  0.0459  0.9541  1 Tb 3.35, 4 Pm 3.51-3.58, 2 Tm 3.55
Tm  0.8679  0.4616  0.0398  5 Tm 3.22-3.43, 2 Tb 3.25-3.45, 2 Pm 3.28-3.53
Tm  0.5351  0.6163  0.7123  6 Tm 3.37-3.77, 4 Pm 3.39-3.61
Tm  0.3679  0.5384  0.9602  5 Tm 3.22-3.43, 2 Tb 3.25-3.45, 2 Pm 3.28-3.53
Tm  0.3679  0.0398  0.4616  5 Tm 3.22-3.43, 2 Tb 3.25-3.45, 2 Pm 3.28-3.53
Tm  0.8679  0.9602  0.5384  5 Tm 3.22-3.43, 2 Tb 3.25-3.45, 2 Pm 3.28-3.53
Tm  0.0351  0.7123  0.6163  6 Tm 3.37-3.77, 4 Pm 3.39-3.61
Tm  0.1404  0.7189  0.2811  4 Tm 3.22-3.37, 1 Pm 3.36, 2 Tb 3.39-3.43
Tm  0.4092  0.9541  0.0459  1 Tb 3.35, 4 Pm 3.51-3.58, 2 Tm 3.55
Tm  0.0351  0.3837  0.2877  6 Tm 3.37-3.77, 4 Pm 3.39-3.61
Tm  0.5351  0.2877  0.3837  6 Tm 3.37-3.77, 4 Pm 3.39-3.61
Tm  0.6404  0.2811  0.7189  4 Tm 3.22-3.37, 1 Pm 3.36, 2 Tb 3.39-3.43
Pm  0.4601  0.9377  0.7176  1 Tb 3.27, 6 Tm 3.28-3.58, 1 Pm 3.66
Pm  0.4601  0.2824  0.0623  1 Tb 3.27, 6 Tm 3.28-3.58, 1 Pm 3.66
Pm  0.0654  0.3916  0.6084  5 Tm 3.36-3.61, 1 Tb 3.54, 2 Pm 3.66
Pm  0.9601  0.7176  0.9377  1 Tb 3.27, 6 Tm 3.28-3.58, 1 Pm 3.66
Pm  0.5654  0.6084  0.3916  5 Tm 3.36-3.61, 1 Tb 3.54, 2 Pm 3.66
Pm  0.9601  0.0623  0.2824  1 Tb 3.27, 6 Tm 3.28-3.58, 1 Pm 3.66
Tb  0.6441  0.7943  0.2057  7 Tm 3.25-3.45, 3 Pm 3.27-3.54
Tb  0.1441  0.2057  0.7943  7 Tm 3.25-3.45, 3 Pm 3.27-3.54

Summary:
energy of formation from the pure elements: 0.15 eV per atom



HfBe2Au2 | PBE | optimized geometry

abc: 7.1980 7.1980 2.8285
angles: 90.00 90.00 90.00
Last column: nearest neighbours and their distance in Å.
Atoms (fractional coordinates):
Be  0.6186  0.1186  0.0000  1 Be 2.41, 6 Au 2.56
Be  0.3814  0.8814  0.0000  1 Be 2.41, 6 Au 2.56
Be  0.8814  0.6186  0.0000  1 Be 2.41, 6 Au 2.56
Be  0.1186  0.3814  0.0000  1 Be 2.41, 6 Au 2.56
Au  0.1723  0.6723  0.5000  6 Be 2.56, 2 Au 2.83
Au  0.8277  0.3277  0.5000  6 Be 2.56, 2 Au 2.83
Au  0.3277  0.1723  0.5000  6 Be 2.56, 2 Au 2.83
Au  0.6723  0.8277  0.5000  6 Be 2.56, 2 Au 2.83
Hf  0.5000  0.5000  0.0000  2 Hf 2.83, 4 Be 2.87, 8 Au 3.02
Hf  0.0000  0.0000  0.0000  2 Hf 2.83, 4 Be 2.87, 8 Au 3.02

Summary:
energy of formation from the pure elements: -0.18 eV per atom



Excess energy over the best structure of this formula in the dataset (computed, eV/f.u.): 0.00; 0.10